No. 1
This record from Alexandria via LeMat-Bulk describes EuSnSb2 after structural relaxation. The functional is GGA-PBE.

Geometry as POSCAR:
```
EuSnSb2
1.0
-2.345 -2.038 3.410
2.983 -3.902 -0.280
3.009 2.063 3.302
Sb Sn Eu
2 1 1
direct
0.000 0.000 0.500
0.000 0.500 0.000
0.500 0.000 0.000
0.500 0.500 0.500
```

The uncorrected formation energy is -485 meV/atom. Its magnetization is 6.81 μB/f.u.

---

No. 2
This record from Alexandria via LeMat-Bulk describes SmBePt2 after structural relaxation. The functional is GGA-PBE.

Geometry as POSCAR:
```
SmBePt2
1.0
-0.471 2.821 2.924
-0.033 -1.118 3.934
4.907 1.188 2.505
Sm Be Pt
1 1 2
direct
0.500 0.500 0.500
0.000 0.000 0.000
0.289 0.289 0.133
0.711 0.711 0.867
```

For the formation enthalpy at 0 K, the calculation gives -0.88 eV per atom. Its magnetization is 0.00 μB/f.u.

---

Number 1: final energy -6.12 eV/atom, distance to the lowest polymorph of the same formula 0.000 eV/f.u.. Number 2: final energy -6.01 eV/atom, distance to the lowest polymorph of the same formula 0.254 eV/f.u..